1.
# LaRhPb3 (GGA-PBEsol, relaxed)
data_LaRhPb3
_chemical_formula_sum 'La1 Rh1 Pb3'
_symmetry_space_group_name_H-M 'P m -3 m'
_symmetry_Int_Tables_number 221
_symmetry_space_group_name_Hall '-P 4 2 3'
_cell_length_a 5.8616
_cell_length_b 5.8616
_cell_length_c 5.8616
_cell_angle_alpha 90.00
_cell_angle_beta 90.00
_cell_angle_gamma 90.00
loop_
_atom_site_label
_atom_site_fract_x
_atom_site_fract_y
_atom_site_fract_z
_atom_site_occupancy
La1 0.0000 0.0000 0.0000 1
Rh1 0.5000 0.5000 0.5000 1
Pb1 0.0000 0.0000 0.5000 1
# energy of formation from the pure elements	1505	meV/atom
# volume	40.3	Å³ per atom


2.
# La2RuPb (GGA-PBEsol, relaxed)
data_La2RuPb
_chemical_formula_sum 'La2 Ru1 Pb1'
_symmetry_space_group_name_H-M 'P 4/m m m'
_symmetry_Int_Tables_number 123
_symmetry_space_group_name_Hall '-P 4 2'
_cell_length_a 3.4371
_cell_length_b 3.4371
_cell_length_c 8.7680
_cell_angle_alpha 90.00
_cell_angle_beta 90.00
_cell_angle_gamma 90.00
loop_
_atom_site_label
_atom_site_fract_x
_atom_site_fract_y
_atom_site_fract_z
_atom_site_occupancy
La1 0.0000 0.0000 0.1997 1
Ru1 0.5000 0.5000 0.0000 1
Pb1 0.5000 0.5000 0.5000 1
# energy of formation from the pure elements	-347	meV/atom
# volume	25.9	Å³ per atom


3.
# La3RuPb (GGA-PBEsol, relaxed)
data_La3RuPb
_chemical_formula_sum 'La18 Ru6 Pb6'
_symmetry_space_group_name_H-M 'R -3 c'
_symmetry_Int_Tables_number 167
_symmetry_space_group_name_Hall '-R 3 2"c'
_cell_length_a 7.6689
_cell_length_b 7.6689
_cell_length_c 18.2263
_cell_angle_alpha 90.00
_cell_angle_beta 90.00
_cell_angle_gamma 120.00
loop_
_atom_site_label
_atom_site_fract_x
_atom_site_fract_y
_atom_site_fract_z
_atom_site_occupancy
La1 0.0000 0.4434 0.2500 1
Ru1 0.0000 0.0000 0.0000 1
Pb1 0.0000 0.0000 0.2500 1
# energy of formation from the pure elements	-393	meV/atom
# volume	30.9	Å³ per atom


4.
# LaRuPb2 (GGA-PBEsol, relaxed)
data_LaRuPb2
_chemical_formula_sum 'La3 Ru3 Pb6'
_symmetry_space_group_name_H-M 'R -3 m'
_symmetry_Int_Tables_number 166
_symmetry_space_group_name_Hall '-R 3 2"'
_cell_length_a 3.4608
_cell_length_b 3.4608
_cell_length_c 28.1244
_cell_angle_alpha 90.00
_cell_angle_beta 90.00
_cell_angle_gamma 120.00
loop_
_atom_site_label
_atom_site_fract_x
_atom_site_fract_y
_atom_site_fract_z
_atom_site_occupancy
La1 0.0000 0.0000 0.0000 1
Ru1 0.0000 0.0000 0.5000 1
Pb1 0.0000 0.0000 0.2345 1
# energy of formation from the pure elements	161	meV/atom
# volume	24.3	Å³ per atom


5.
# La3RuPb (GGA-PBEsol, relaxed)
data_La3RuPb
_chemical_formula_sum 'La3 Ru1 Pb1'
_symmetry_space_group_name_H-M 'P m -3 m'
_symmetry_Int_Tables_number 221
_symmetry_space_group_name_Hall '-P 4 2 3'
_cell_length_a 5.3775
_cell_length_b 5.3775
_cell_length_c 5.3775
_cell_angle_alpha 90.00
_cell_angle_beta 90.00
_cell_angle_gamma 90.00
loop_
_atom_site_label
_atom_site_fract_x
_atom_site_fract_y
_atom_site_fract_z
_atom_site_occupancy
La1 0.0000 0.0000 0.5000 1
Ru1 0.0000 0.0000 0.0000 1
Pb1 0.5000 0.5000 0.5000 1
# energy of formation from the pure elements	-381	meV/atom
# volume	31.1	Å³ per atom


6.
# LaRuPb2 (GGA-PBEsol, relaxed)
data_LaRuPb2
_chemical_formula_sum 'La4 Ru4 Pb8'
_symmetry_space_group_name_H-M 'F m -3 m'
_symmetry_Int_Tables_number 225
_symmetry_space_group_name_Hall '-F 4 2 3'
_cell_length_a 7.1599
_cell_length_b 7.1599
_cell_length_c 7.1599
_cell_angle_alpha 90.00
_cell_angle_beta 90.00
_cell_angle_gamma 90.00
loop_
_atom_site_label
_atom_site_fract_x
_atom_site_fract_y
_atom_site_fract_z
_atom_site_occupancy
La1 0.0000 0.0000 0.0000 1
Ru1 0.0000 0.0000 0.5000 1
Pb1 0.2500 0.2500 0.2500 1
# energy of formation from the pure elements	3	meV/atom
# volume	22.9	Å³ per atom


7.
# LaRu3Pb (GGA-PBEsol, relaxed)
data_LaRu3Pb
_chemical_formula_sum 'La1 Ru3 Pb1'
_symmetry_space_group_name_H-M 'P m -3 m'
_symmetry_Int_Tables_number 221
_symmetry_space_group_name_Hall '-P 4 2 3'
_cell_length_a 4.7939
_cell_length_b 4.7939
_cell_length_c 4.7939
_cell_angle_alpha 90.00
_cell_angle_beta 90.00
_cell_angle_gamma 90.00
loop_
_atom_site_label
_atom_site_fract_x
_atom_site_fract_y
_atom_site_fract_z
_atom_site_occupancy
La1 0.0000 0.0000 0.0000 1
Ru1 0.0000 0.0000 0.5000 1
Pb1 0.5000 0.5000 0.5000 1
# energy of formation from the pure elements	1716	meV/atom
# volume	22.0	Å³ per atom


8.
# LaRuPb2 (GGA-PBEsol, relaxed)
data_LaRuPb2
_chemical_formula_sum 'La2 Ru2 Pb4'
_symmetry_space_group_name_H-M 'I m m m'
_symmetry_Int_Tables_number 71
_symmetry_space_group_name_Hall '-I 2 2'
_cell_length_a 3.3886
_cell_length_b 5.3904
_cell_length_c 10.5755
_cell_angle_alpha 90.00
_cell_angle_beta 90.00
_cell_angle_gamma 90.00
loop_
_atom_site_label
_atom_site_fract_x
_atom_site_fract_y
_atom_site_fract_z
_atom_site_occupancy
La1 0.0000 0.0000 0.0000 1
Ru1 0.0000 0.0000 0.5000 1
Pb1 0.0000 0.5000 0.2105 1
# energy of formation from the pure elements	-55	meV/atom
# volume	24.1	Å³ per atom


9.
# La2RuPb (GGA-PBEsol, relaxed)
data_La2RuPb
_chemical_formula_sum 'La4 Ru2 Pb2'
_symmetry_space_group_name_H-M 'A m m 2'
_symmetry_Int_Tables_number 38
_cell_length_a 4.2179
_cell_length_b 4.7151
_cell_length_c 10.9682
_cell_angle_alpha 90.00
_cell_angle_beta 90.00
_cell_angle_gamma 90.00
loop_
_symmetry_equiv_pos_as_xyz
'x,y,z'
'-x,-y,z'
'-x,y,z'
'x,-y,z'
'x,y+1/2,z+1/2'
'-x,-y+1/2,z+1/2'
'-x,y+1/2,z+1/2'
'x,-y+1/2,z+1/2'
loop_
_atom_site_label
_atom_site_fract_x
_atom_site_fract_y
_atom_site_fract_z
_atom_site_occupancy
La1 0.0000 0.0000 0.0000 1
La2 0.5000 0.0000 0.3114 1
Ru1 0.5000 0.0000 0.5248 1
Pb1 0.0000 0.0000 0.7047 1
# energy of formation from the pure elements	-343	meV/atom
# volume	27.3	Å³ per atom


10.
# La5Pb3S (GGA-PBEsol, relaxed)
data_La5Pb3S
_chemical_formula_sum 'La10 Pb6 S2'
_symmetry_space_group_name_H-M 'P 63/m c m'
_symmetry_Int_Tables_number 193
_symmetry_space_group_name_Hall '-P 6c 2'
_cell_length_a 9.5622
_cell_length_b 9.5622
_cell_length_c 6.9422
_cell_angle_alpha 90.00
_cell_angle_beta 90.00
_cell_angle_gamma 120.00
loop_
_atom_site_label
_atom_site_fract_x
_atom_site_fract_y
_atom_site_fract_z
_atom_site_occupancy
La1 0.0000 0.2425 0.2500 1
La2 0.3333 0.6667 0.0000 1
Pb1 0.0000 0.3956 0.7500 1
S1 0.0000 0.0000 0.0000 1
# formation energy (no corrections)	-99.3	kJ per mole of atoms
# volume	30.5	Å³ per atom


11.
# LaPb3S (GGA-PBEsol, relaxed)
data_LaPb3S
_chemical_formula_sum 'La1 Pb3 S1'
_symmetry_space_group_name_H-M 'P m -3 m'
_symmetry_Int_Tables_number 221
_symmetry_space_group_name_Hall '-P 4 2 3'
_cell_length_a 5.9785
_cell_length_b 5.9785
_cell_length_c 5.9785
_cell_angle_alpha 90.00
_cell_angle_beta 90.00
_cell_angle_gamma 90.00
loop_
_atom_site_label
_atom_site_fract_x
_atom_site_fract_y
_atom_site_fract_z
_atom_site_occupancy
La1 0.0000 0.0000 0.0000 1
Pb1 0.0000 0.0000 0.5000 1
S1 0.5000 0.5000 0.5000 1
# formation energy (no corrections)	98.5	kJ per mole of atoms
# volume	42.7	Å³ per atom


12.
# LaTc2PbS (GGA-PBEsol, relaxed)
data_LaTc2PbS
_chemical_formula_sum 'La1 Tc2 Pb1 S1'
_symmetry_space_group_name_H-M 'P 4/m m m'
_symmetry_Int_Tables_number 123
_symmetry_space_group_name_Hall '-P 4 2'
_cell_length_a 4.6779
_cell_length_b 4.6779
_cell_length_c 6.2305
_cell_angle_alpha 90.00
_cell_angle_beta 90.00
_cell_angle_gamma 90.00
loop_
_atom_site_label
_atom_site_fract_x
_atom_site_fract_y
_atom_site_fract_z
_atom_site_occupancy
La1 0.0000 0.0000 0.0000 1
Tc1 0.0000 0.5000 0.0000 1
Pb1 0.0000 0.0000 0.5000 1
S1 0.5000 0.5000 0.5000 1
# formation energy (no corrections)	181.3	kJ per mole of atoms
# volume	27.3	Å³ per atom